# 1
# PBE Hg4SeI2Br, relaxed
# energy	-0.0985	Ry per atom
# space-group type	Pmn2_1 (31)
data_Hg4SeI2Br
_chemical_formula_sum 'Hg8 Se2 I4 Br2'
_symmetry_space_group_name_H-M 'P 1'
_symmetry_Int_Tables_number 1
_cell_length_a 7.6657
_cell_length_b 9.3196
_cell_length_c 8.5008
_cell_angle_alpha 90.00
_cell_angle_beta 90.00
_cell_angle_gamma 90.00
loop_
_symmetry_equiv_pos_as_xyz
'x,y,z'
loop_
_atom_site_label
_atom_site_fract_x
_atom_site_fract_y
_atom_site_fract_z
_atom_site_occupancy
Se1 0.4642 0.7859 0.5000 1
Se2 0.9642 0.2141 0.0000 1
I1 0.4578 0.3170 0.2830 1
I2 0.4578 0.3170 0.7170 1
I3 0.9578 0.6830 0.7830 1
I4 0.9578 0.6830 0.2170 1
Hg1 0.9234 0.9346 0.0000 1
Hg2 0.9339 0.3366 0.3291 1
Hg3 0.3019 0.1967 0.0000 1
Hg4 0.9339 0.3366 0.6709 1
Hg5 0.4234 0.0654 0.5000 1
Hg6 0.8019 0.8033 0.5000 1
Hg7 0.4339 0.6634 0.1709 1
Hg8 0.4339 0.6634 0.8291 1
Br1 0.0271 0.0279 0.5000 1
Br2 0.5271 0.9721 0.0000 1


# 2
# PBE HgSeIBr2, relaxed
# polymorph energy (0 for the lowest one)	0.000	eV/atom
# space-group type	P4/mmm (123)
data_HgSeIBr2
_chemical_formula_sum 'Hg1 Se1 I1 Br2'
_symmetry_space_group_name_H-M 'P 1'
_symmetry_Int_Tables_number 1
_cell_length_a 5.7943
_cell_length_b 5.7943
_cell_length_c 5.4499
_cell_angle_alpha 90.00
_cell_angle_beta 90.00
_cell_angle_gamma 90.00
loop_
_symmetry_equiv_pos_as_xyz
'x,y,z'
loop_
_atom_site_label
_atom_site_fract_x
_atom_site_fract_y
_atom_site_fract_z
_atom_site_occupancy
I1 0.0000 0.0000 0.0000 1
Br1 0.5000 0.0000 0.0000 1
Br2 0.0000 0.5000 0.0000 1
Se1 0.0000 0.0000 0.5000 1
Hg1 0.5000 0.5000 0.5000 1


no.,volume (Å³/cell)
1,607.3
2,183.0